Compound: SrYSn6
Source: Alexandria via LeMat-Bulk
Functional: PBE
Structure: relaxed

E_form ... -0.4205 eV per atom
Magnetic moment ... 0.00 μB per atom

Unit cell a=4.8230 b=4.8230 c=9.4655 alpha=90.00 beta=90.00 gamma=90.00
Atoms (fractional coordinates):
1 Y 0.0000 0.0000 0.5000
2 Sr 0.0000 0.0000 0.0000
3 Sn 0.0000 0.5000 0.7426
4 Sn 0.5000 0.5000 0.5000
5 Sn 0.5000 0.5000 0.0000
6 Sn 0.5000 0.0000 0.7426
7 Sn 0.0000 0.5000 0.2574
8 Sn 0.5000 0.0000 0.2574



Compound: BaCa2Re
Source: Alexandria via LeMat-Bulk
Functional: PBE
Structure: relaxed

E_form ... 1.0454 eV per atom
Magnetic moment ... 0.31 μB per atom

Unit cell a=6.2919 b=6.5540 c=3.3545 alpha=78.99 beta=82.22 gamma=116.45
Atoms (fractional coordinates):
1 Re 0.0000 0.5000 0.5000
2 Ba 0.5000 0.5000 0.0000
3 Ca 0.5000 0.0000 0.5000
4 Ca 0.0000 0.0000 0.0000